Compound: Y2CoAu
Source: the Alexandria database
Functional: GGA-PBEsol
Structure: relaxed

Lattice parameters (Å, degrees): 4.2829 3.8014 10.3075 90.00 90.00 90.00
Closest atoms and distances in Å follow each position.
Element x y z (fractional)
Y1 0.0000 0.0000 0.0000  3 Au 2.91-2.95, 4 Co 2.93
Y2 0.0000 0.5000 0.5000  3 Au 2.91-2.95, 4 Co 2.93
Y3 0.5000 0.0000 0.2872  3 Co 2.81-3.02, 4 Au 2.96
Y4 0.5000 0.5000 0.7872  3 Co 2.81-3.02, 4 Au 2.96
Co1 0.5000 0.0000 0.5598  2 Au 2.67, 5 Y 2.81-2.93
Co2 0.5000 0.5000 0.0598  2 Au 2.67, 5 Y 2.81-2.93
Au1 0.0000 0.0000 0.7141  2 Co 2.67, 7 Y 2.91-2.96
Au2 0.0000 0.5000 0.2141  2 Co 2.67, 7 Y 2.91-2.96

Values from the calculation:
density	8.6	g/cm3
size of the total moment	0.0	μB per cell
calculated formation energy	-0.47	eV per atom